Entry 1:
First-principles (PBE-GGA) data for a geometry-optimized PmMg4In structure, as listed in Alexandria.

## Properties
Distance to the lowest polymorph of the same formula   0 meV/atom
Energy of formation   -0.10 eV per atom
Symmetry   No. 51

Lattice parameters (Å, degrees): 8.2074 4.6902 7.9438 90.00 90.00 90.00
Sites, in units of the cell vectors:
Pm  0.2500  0.0000  0.1385
Pm  0.7500  0.0000  0.8615
Mg  0.0000  0.0000  0.5000
Mg  0.0479  0.5000  0.8153
Mg  0.2500  0.5000  0.4514
Mg  0.4521  0.5000  0.8153
Mg  0.5000  0.0000  0.5000
Mg  0.5479  0.5000  0.1847
Mg  0.7500  0.5000  0.5486
Mg  0.9521  0.5000  0.1847
In  0.2500  0.0000  0.7437
In  0.7500  0.0000  0.2563

Entry 2:
First-principles (PBE-GGA) data for a geometry-optimized PmMg11In structure, as listed in Alexandria.

## Properties
Energy of formation   -0.07 eV per atom
Symmetry   No. 12

Lattice parameters (Å, degrees): 7.8355 7.8355 7.7716 98.11 98.11 135.53
Sites, in units of the cell vectors:
Pm  0.0000  0.0000  0.0000
Mg  0.0000  0.0000  0.5000
Mg  0.0000  0.5000  0.0000
Mg  0.0037  0.6519  0.6486
Mg  0.2859  0.4973  0.7887
Mg  0.3481  0.9963  0.3514
Mg  0.4973  0.2859  0.7887
Mg  0.5000  0.0000  0.0000
Mg  0.5027  0.7141  0.2113
Mg  0.6519  0.0037  0.6486
Mg  0.7141  0.5027  0.2113
Mg  0.9963  0.3481  0.3514
In  0.5000  0.5000  0.5000

Entry 3:
First-principles (PBE-GGA) data for a geometry-optimized Pm2MgIn2 structure, as listed in Alexandria.

## Properties
Distance to the lowest polymorph of the same formula   0 meV/atom
Energy of formation   -0.40 eV per atom
Symmetry   No. 127

Lattice parameters (Å, degrees): 7.7117 7.7117 4.8170 90.00 90.00 90.00
Sites, in units of the cell vectors:
Pm  0.1680  0.3320  0.0000
Pm  0.3320  0.8320  0.0000
Pm  0.6680  0.1680  0.0000
Pm  0.8320  0.6680  0.0000
Mg  0.0000  0.0000  0.5000
Mg  0.5000  0.5000  0.5000
In  0.1360  0.6360  0.5000
In  0.3640  0.1360  0.5000
In  0.6360  0.8640  0.5000
In  0.8640  0.3640  0.5000

Entry 4:
First-principles (PBE-GGA) data for a geometry-optimized Pm8Mg3In2 structure, as listed in Alexandria.

## Properties
Energy of formation   -0.03 eV per atom
Symmetry   No. 12

Lattice parameters (Å, degrees): 9.5199 9.5199 5.6612 90.01 90.01 53.98
Sites, in units of the cell vectors:
Pm  0.1046  0.1046  0.9999
Pm  0.1845  0.5890  0.4998
Pm  0.3089  0.3089  0.9995
Pm  0.4110  0.8155  0.5002
Pm  0.5890  0.1845  0.4998
Pm  0.6911  0.6911  0.0005
Pm  0.8155  0.4110  0.5002
Pm  0.8954  0.8954  0.0001
Mg  0.0000  0.0000  0.5000
Mg  0.3305  0.6695  0.0000
Mg  0.6695  0.3305  0.0000
In  0.2210  0.2210  0.4994
In  0.7790  0.7790  0.5006

Entry 5:
First-principles (PBE-GGA) data for a geometry-optimized PmMg3In3 structure, as listed in Alexandria.

## Properties
Distance to the lowest polymorph of the same formula   591 meV/atom
Energy of formation   0.43 eV per atom
Symmetry   No. 223

Lattice parameters (Å, degrees): 7.7277 7.7277 7.7277 90.00 90.00 90.00
Sites, in units of the cell vectors:
Pm  0.0000  0.0000  0.0000
Pm  0.5000  0.5000  0.5000
Mg  0.0000  0.2500  0.5000
Mg  0.0000  0.7500  0.5000
Mg  0.2500  0.5000  0.0000
Mg  0.5000  0.0000  0.2500
Mg  0.5000  0.0000  0.7500
Mg  0.7500  0.5000  0.0000
In  0.0000  0.5000  0.2500
In  0.0000  0.5000  0.7500
In  0.2500  0.0000  0.5000
In  0.5000  0.2500  0.0000
In  0.5000  0.7500  0.0000
In  0.7500  0.0000  0.5000

Entry 6:
First-principles (PBE-GGA) data for a geometry-optimized PmMgIn structure, as listed in Alexandria.

## Properties
Distance to the lowest polymorph of the same formula   184 meV/atom
Energy of formation   -0.24 eV per atom
Symmetry   No. 216

Lattice parameters (Å, degrees): 5.0530 5.0530 5.0530 60.00 60.00 60.00
Sites, in units of the cell vectors:
Pm  0.0000  0.0000  0.0000
Mg  0.5000  0.5000  0.5000
In  0.7500  0.7500  0.7500

- Which of these has the lowest energy of formation?
  Pm2MgIn2

- Which of these has the lowest energy of formation?
  Pm2MgIn2

- Among the records above, which one has the lowest energy of formation?
  Pm2MgIn2